Record 1
Entry from Alexandria via LeMat-Bulk: a geometry-optimized Eu2IrRh structure (PBE). Values from VASP.

Calculated values
The calculation puts the total energy at -9.4441 eV/atom. The value obtained for the density of states at the Fermi level is 11.85 states/eV per cell. The calculation puts the formation energy at -0.25 eV/atom. The calculated volume is 21.5 Å³/atom. For the total magnetic moment, the calculation gives 13.2 μB per cell. For the energy above the most stable polymorph in this dataset, the calculation gives 0 meV/atom.

Cell and atoms, written as Quantum ESPRESSO input:
```
&SYSTEM
  ibrav = 0, nat = 4, ntyp = 3
/
ATOMIC_SPECIES
Eu 151.96 Eu.upf
Ir 192.22 Ir.upf
Rh 102.91 Rh.upf
ATOMIC_POSITIONS crystal
Eu 0.000 0.000 0.249
Eu 0.000 0.000 0.751
Ir 0.500 0.500 0.000
Rh 0.500 0.500 0.500
CELL_PARAMETERS angstrom
3.494 0.000 0.000
0.000 3.494 0.000
0.000 0.000 7.059
```

Record 2
Entry from Alexandria via LeMat-Bulk: a geometry-optimized EuIrRh structure (PBE). Values from VASP.

Calculated values
The calculation puts the total energy at -9.0147 eV/atom. The value obtained for the density of states at the Fermi level is 9.34 states/eV per cell. The calculation puts the formation energy at -0.19 eV/atom. The calculated volume is 22.2 Å³/atom. For the total magnetic moment, the calculation gives 5.7 μB per cell.

Cell and atoms, written as Quantum ESPRESSO input:
```
&SYSTEM
  ibrav = 0, nat = 3, ntyp = 3
/
ATOMIC_SPECIES
Eu 151.96 Eu.upf
Ir 192.22 Ir.upf
Rh 102.91 Rh.upf
ATOMIC_POSITIONS crystal
Eu 0.000 0.000 0.000
Ir 0.667 0.333 0.500
Rh 0.333 0.667 0.500
CELL_PARAMETERS angstrom
4.262 0.000 0.000
-2.131 3.691 0.000
0.000 0.000 4.242
```

Record 3
Entry from Alexandria via LeMat-Bulk: a geometry-optimized EuScIrRh structure (PBE). Values from VASP.

Calculated values
The calculation puts the total energy at -8.7440 eV/atom. The value obtained for the density of states at the Fermi level is 10.44 states/eV per cell. The calculation puts the formation energy at -0.54 eV/atom. The calculated volume is 19.1 Å³/atom. For the total magnetic moment, the calculation gives 6.6 μB per cell.

Cell and atoms, written as Quantum ESPRESSO input:
```
&SYSTEM
  ibrav = 0, nat = 4, ntyp = 4
/
ATOMIC_SPECIES
Eu 151.96 Eu.upf
Sc 44.96 Sc.upf
Ir 192.22 Ir.upf
Rh 102.91 Rh.upf
ATOMIC_POSITIONS crystal
Eu 0.000 0.000 0.000
Sc 0.500 0.500 0.500
Ir 0.750 0.750 0.750
Rh 0.250 0.250 0.250
CELL_PARAMETERS angstrom
0.000 3.367 3.367
3.367 0.000 3.367
3.367 3.367 0.000
```

Record 4
Entry from Alexandria via LeMat-Bulk: a geometry-optimized SmEuIrRh structure (PBE). Values from VASP.

Calculated values
The calculation puts the total energy at -8.2793 eV/atom. The value obtained for the density of states at the Fermi level is 10.96 states/eV per cell. The calculation puts the formation energy at -0.48 eV/atom. The calculated volume is 21.5 Å³/atom. For the total magnetic moment, the calculation gives 6.6 μB per cell.

Cell and atoms, written as Quantum ESPRESSO input:
```
&SYSTEM
  ibrav = 0, nat = 4, ntyp = 4
/
ATOMIC_SPECIES
Sm 150.36 Sm.upf
Eu 151.96 Eu.upf
Ir 192.22 Ir.upf
Rh 102.91 Rh.upf
ATOMIC_POSITIONS crystal
Sm 0.000 0.000 0.000
Eu 0.500 0.500 0.500
Ir 0.250 0.250 0.250
Rh 0.750 0.750 0.750
CELL_PARAMETERS angstrom
0.000 3.503 3.503
3.503 0.000 3.503
3.503 3.503 0.000
```

Record 5
Entry from Alexandria via LeMat-Bulk: a geometry-optimized TbEuIrRh structure (PBE). Values from VASP.

Calculated values
The calculation puts the total energy at -8.3113 eV/atom. The value obtained for the density of states at the Fermi level is 10.71 states/eV per cell. The calculation puts the formation energy at -0.53 eV/atom. The calculated volume is 20.9 Å³/atom. For the total magnetic moment, the calculation gives 6.6 μB per cell.

Cell and atoms, written as Quantum ESPRESSO input:
```
&SYSTEM
  ibrav = 0, nat = 4, ntyp = 4
/
ATOMIC_SPECIES
Tb 158.93 Tb.upf
Eu 151.96 Eu.upf
Ir 192.22 Ir.upf
Rh 102.91 Rh.upf
ATOMIC_POSITIONS crystal
Tb 0.000 0.000 0.000
Eu 0.500 0.500 0.500
Ir 0.750 0.750 0.750
Rh 0.250 0.250 0.250
CELL_PARAMETERS angstrom
0.000 3.472 3.472
3.472 0.000 3.472
3.472 3.472 0.000
```

Record 6
Entry from Alexandria via LeMat-Bulk: a geometry-optimized EuThIrRh structure (PBE). Values from VASP.

Calculated values
The calculation puts the total energy at -9.0906 eV/atom. The value obtained for the density of states at the Fermi level is 9.96 states/eV per cell. The calculation puts the formation energy at -0.61 eV/atom. The calculated volume is 22.1 Å³/atom. For the total magnetic moment, the calculation gives 6.7 μB per cell.

Cell and atoms, written as Quantum ESPRESSO input:
```
&SYSTEM
  ibrav = 0, nat = 4, ntyp = 4
/
ATOMIC_SPECIES
Eu 151.96 Eu.upf
Th 232.04 Th.upf
Ir 192.22 Ir.upf
Rh 102.91 Rh.upf
ATOMIC_POSITIONS crystal
Eu 0.000 0.000 0.000
Th 0.500 0.500 0.500
Ir 0.750 0.750 0.750
Rh 0.250 0.250 0.250
CELL_PARAMETERS angstrom
0.000 3.537 3.537
3.537 0.000 3.537
3.537 3.537 0.000
```

Record 7
Entry from Alexandria via LeMat-Bulk: a geometry-optimized EuYIrRh structure (PBE). Values from VASP.

Calculated values
The calculation puts the total energy at -8.7644 eV/atom. The value obtained for the density of states at the Fermi level is 11.17 states/eV per cell. The calculation puts the formation energy at -0.53 eV/atom. The calculated volume is 20.9 Å³/atom. For the total magnetic moment, the calculation gives 6.6 μB per cell.

Cell and atoms, written as Quantum ESPRESSO input:
```
&SYSTEM
  ibrav = 0, nat = 4, ntyp = 4
/
ATOMIC_SPECIES
Eu 151.96 Eu.upf
Y 88.91 Y.upf
Ir 192.22 Ir.upf
Rh 102.91 Rh.upf
ATOMIC_POSITIONS crystal
Eu 0.000 0.000 0.000
Y 0.500 0.500 0.500
Ir 0.750 0.750 0.750
Rh 0.250 0.250 0.250
CELL_PARAMETERS angstrom
0.000 3.470 3.470
3.470 0.000 3.470
3.470 3.470 0.000
```

Record 8
Entry from Alexandria via LeMat-Bulk: a geometry-optimized EuZrIrRh structure (PBE). Values from VASP.

Calculated values
The calculation puts the total energy at -9.2470 eV/atom. The value obtained for the density of states at the Fermi level is 9.59 states/eV per cell. The calculation puts the formation energy at -0.49 eV/atom. The calculated volume is 19.5 Å³/atom. For the total magnetic moment, the calculation gives 6.8 μB per cell.

Cell and atoms, written as Quantum ESPRESSO input:
```
&SYSTEM
  ibrav = 0, nat = 4, ntyp = 4
/
ATOMIC_SPECIES
Eu 151.96 Eu.upf
Zr 91.22 Zr.upf
Ir 192.22 Ir.upf
Rh 102.91 Rh.upf
ATOMIC_POSITIONS crystal
Eu 0.000 0.000 0.000
Zr 0.500 0.500 0.500
Ir 0.250 0.250 0.250
Rh 0.750 0.750 0.750
CELL_PARAMETERS angstrom
0.000 3.390 3.390
3.390 0.000 3.390
3.390 3.390 0.000
```

Record 9
Entry from Alexandria via LeMat-Bulk: a geometry-optimized EuSb2Ir structure (PBE). Values from VASP.

Calculated values
The calculation puts the total energy at -7.4277 eV/atom. The energy relative to the elements, uncorrected comes out at -0.583 eV per atom. The value obtained for the density of states at the Fermi level is 4.46 states/eV per cell. The calculated volume is 24.9 Å³/atom. For the total magnetic moment, the calculation gives 6.9 μB per cell.

Cell and atoms, written as Quantum ESPRESSO input:
```
&SYSTEM
  ibrav = 0, nat = 4, ntyp = 3
/
ATOMIC_SPECIES
Eu 151.96 Eu.upf
Sb 121.76 Sb.upf
Ir 192.22 Ir.upf
ATOMIC_POSITIONS crystal
Eu 0.000 0.000 0.000
Sb 0.226 0.226 0.226
Sb 0.774 0.774 0.774
Ir 0.500 0.500 0.500
CELL_PARAMETERS angstrom
2.172 1.254 6.101
-2.172 1.254 6.101
0.000 -2.508 6.101
```

Record 10
Entry from Alexandria via LeMat-Bulk: a geometry-optimized Eu3SbIr structure (PBE). Values from VASP.

Calculated values
The calculation puts the total energy at -9.2830 eV/atom. The energy relative to the elements, uncorrected comes out at -0.522 eV per atom. The value obtained for the density of states at the Fermi level is 15.45 states/eV per cell. The calculated volume is 33.5 Å³/atom. For the total magnetic moment, the calculation gives 20.8 μB per cell.

Cell and atoms, written as Quantum ESPRESSO input:
```
&SYSTEM
  ibrav = 0, nat = 5, ntyp = 3
/
ATOMIC_SPECIES
Eu 151.96 Eu.upf
Sb 121.76 Sb.upf
Ir 192.22 Ir.upf
ATOMIC_POSITIONS crystal
Eu 0.000 0.000 0.500
Eu 0.000 0.500 0.000
Eu 0.500 0.000 0.000
Sb 0.500 0.500 0.500
Ir 0.000 0.000 0.000
CELL_PARAMETERS angstrom
5.511 0.000 0.000
0.000 5.511 0.000
0.000 0.000 5.511
```

Record 11
Entry from Alexandria via LeMat-Bulk: a geometry-optimized EuSc3Ir structure (PBE). Values from VASP.

Calculated values
The calculation puts the total energy at -7.9659 eV/atom. The value obtained for the density of states at the Fermi level is 5.88 states/eV per cell. The calculation puts the formation energy at -0.34 eV/atom. The calculated volume is 27.3 Å³/atom. For the total magnetic moment, the calculation gives 7.4 μB per cell.

Cell and atoms, written as Quantum ESPRESSO input:
```
&SYSTEM
  ibrav = 0, nat = 5, ntyp = 3
/
ATOMIC_SPECIES
Eu 151.96 Eu.upf
Sc 44.96 Sc.upf
Ir 192.22 Ir.upf
ATOMIC_POSITIONS crystal
Eu 0.000 0.000 0.000
Sc 0.000 0.500 0.500
Sc 0.500 0.000 0.500
Sc 0.500 0.500 0.000
Ir 0.500 0.500 0.500
CELL_PARAMETERS angstrom
5.151 0.000 0.000
0.000 5.151 0.000
0.000 0.000 5.151
```

Record 12
Entry from Alexandria via LeMat-Bulk: a geometry-optimized Eu3Si12Ir5 structure (PBE). Values from VASP.

Calculated values
The calculation puts the total energy at -7.1788 eV/atom. The energy relative to the elements, uncorrected comes out at -0.169 eV per atom. The value obtained for the density of states at the Fermi level is 44.53 states/eV per cell. The calculated volume is 22.2 Å³/atom. For the total magnetic moment, the calculation gives 86.6 μB per cell.

Cell and atoms, written as Quantum ESPRESSO input:
```
&SYSTEM
  ibrav = 0, nat = 80, ntyp = 3
/
ATOMIC_SPECIES
Eu 151.96 Eu.upf
Si 28.09 Si.upf
Ir 192.22 Ir.upf
ATOMIC_POSITIONS crystal
Eu 0.125 0.250 0.375
Eu 0.125 0.375 0.750
Eu 0.250 0.375 0.125
Eu 0.250 0.875 0.625
Eu 0.375 0.125 0.250
Eu 0.375 0.750 0.125
Eu 0.625 0.250 0.875
Eu 0.625 0.875 0.750
Eu 0.750 0.125 0.375
Eu 0.750 0.625 0.875
Eu 0.875 0.625 0.250
Eu 0.875 0.750 0.625
Si 0.010 0.698 0.059
Si 0.010 0.812 0.951
Si 0.049 0.559 0.861
Si 0.049 0.990 0.188
Si 0.059 0.010 0.698
Si 0.059 0.549 0.361
Si 0.139 0.688 0.698
Si 0.139 0.951 0.441
Si 0.188 0.049 0.990
Si 0.188 0.639 0.198
Si 0.198 0.188 0.639
Si 0.198 0.510 0.559
Si 0.302 0.861 0.312
Si 0.302 0.941 0.990
Si 0.312 0.302 0.861
Si 0.312 0.510 0.451
Si 0.361 0.059 0.549
Si 0.361 0.802 0.812
Si 0.441 0.139 0.951
Si 0.441 0.802 0.490
Si 0.451 0.312 0.510
Si 0.451 0.639 0.941
Si 0.490 0.441 0.802
Si 0.490 0.549 0.688
Si 0.510 0.451 0.312
Si 0.510 0.559 0.198
Si 0.549 0.361 0.059
Si 0.549 0.688 0.490
Si 0.559 0.198 0.510
Si 0.559 0.861 0.049
Si 0.639 0.198 0.188
Si 0.639 0.941 0.451
Si 0.688 0.490 0.549
Si 0.688 0.698 0.139
Si 0.698 0.059 0.010
Si 0.698 0.139 0.688
Si 0.802 0.490 0.441
Si 0.802 0.812 0.361
Si 0.812 0.361 0.802
Si 0.812 0.951 0.010
Si 0.861 0.049 0.559
Si 0.861 0.312 0.302
Si 0.941 0.451 0.639
Si 0.941 0.990 0.302
Si 0.951 0.010 0.812
Si 0.951 0.441 0.139
Si 0.990 0.188 0.049
Si 0.990 0.302 0.941
Ir 0.000 0.000 0.000
Ir 0.000 0.000 0.500
Ir 0.000 0.500 0.000
Ir 0.000 0.500 0.500
Ir 0.125 0.750 0.875
Ir 0.125 0.875 0.250
Ir 0.250 0.125 0.875
Ir 0.250 0.625 0.375
Ir 0.375 0.250 0.625
Ir 0.375 0.625 0.750
Ir 0.500 0.000 0.000
Ir 0.500 0.000 0.500
Ir 0.500 0.500 0.000
Ir 0.500 0.500 0.500
Ir 0.625 0.375 0.250
Ir 0.625 0.750 0.375
Ir 0.750 0.375 0.625
Ir 0.750 0.875 0.125
Ir 0.875 0.125 0.750
Ir 0.875 0.250 0.125
CELL_PARAMETERS angstrom
-7.627 7.627 7.627
7.627 -7.627 7.627
7.627 7.627 -7.627
```

Record 13
Entry from Alexandria via LeMat-Bulk: a geometry-optimized EuSi2Ir structure (PBE). Values from VASP.

Calculated values
The calculation puts the total energy at -8.2512 eV/atom. The energy relative to the elements, uncorrected comes out at -0.756 eV per atom. The value obtained for the density of states at the Fermi level is 5.14 states/eV per cell. The calculated volume is 19.0 Å³/atom. For the total magnetic moment, the calculation gives 6.7 μB per cell.

Cell and atoms, written as Quantum ESPRESSO input:
```
&SYSTEM
  ibrav = 0, nat = 4, ntyp = 3
/
ATOMIC_SPECIES
Eu 151.96 Eu.upf
Si 28.09 Si.upf
Ir 192.22 Ir.upf
ATOMIC_POSITIONS crystal
Eu 0.000 0.000 0.000
Si 0.211 0.211 0.211
Si 0.789 0.789 0.789
Ir 0.500 0.500 0.500
CELL_PARAMETERS angstrom
2.041 1.178 5.275
-2.041 1.178 5.275
0.000 -2.356 5.275
```